(1)
The following is a DFT calculation (PBE-GGA) of Rb2PH6S3O3 after structural relaxation.

Results
As for the raw total energy: -4.657 eV/atom. Its space group is P2_1/c. The calculated density is 2.29 g cm⁻³.

a = 9.1799 Å, b = 9.3870 Å, c = 13.0470 Å
α = 90.00°, β = 90.00°, γ = 114.61°
Positions (direct):
S  0.3201  0.8515  0.8472
S  0.7737  0.5825  0.5897
S  0.2263  0.4175  0.4103
S  0.5446  0.7832  0.5507
S  0.3201  0.3515  0.6528
S  0.5446  0.2832  0.9493
S  0.6799  0.6485  0.3472
S  0.4554  0.7168  0.0507
S  0.2263  0.9175  0.0897
S  0.6799  0.1485  0.1528
S  0.4554  0.2168  0.4493
S  0.7737  0.0825  0.9103
O  0.2038  0.4255  0.9233
O  0.0480  0.5688  0.1861
O  0.0734  0.8108  0.3924
O  0.2038  0.9255  0.5767
O  0.9266  0.6892  0.8924
O  0.9520  0.4312  0.8139
O  0.9266  0.1892  0.6076
O  0.9520  0.9312  0.6861
O  0.7962  0.0745  0.4233
O  0.0734  0.3108  0.1076
O  0.0480  0.0688  0.3139
O  0.7962  0.5745  0.0767
H  0.7198  0.4735  0.0469
H  0.0450  0.7439  0.8922
H  0.0763  0.4861  0.1552
H  0.9550  0.2561  0.1078
H  0.8851  0.3311  0.8488
H  0.1060  0.8441  0.4649
H  0.8940  0.1559  0.5351
H  0.1248  0.4485  0.8816
H  0.0450  0.2438  0.6078
H  0.9237  0.5139  0.8448
H  0.7198  0.9735  0.4531
H  0.2802  0.5265  0.9531
H  0.8752  0.5515  0.1184
H  0.9550  0.7562  0.3922
H  0.8940  0.6559  0.9649
H  0.1060  0.3441  0.0351
H  0.0763  0.9861  0.3448
H  0.8851  0.8311  0.6512
H  0.1149  0.1689  0.3488
H  0.8752  0.0515  0.3816
H  0.9237  0.0139  0.6552
H  0.2802  0.0265  0.5469
H  0.1248  0.9485  0.6184
H  0.1149  0.6689  0.1512
Rb  0.8459  0.3921  0.3631
Rb  0.8459  0.8921  0.1369
Rb  0.6168  0.1937  0.6926
Rb  0.1541  0.1079  0.8631
Rb  0.3832  0.3063  0.1926
Rb  0.1541  0.6079  0.6369
Rb  0.6168  0.6937  0.8074
Rb  0.3832  0.8063  0.3074
P  0.6119  0.1160  0.0030
P  0.6119  0.6160  0.4970
P  0.3881  0.3840  0.5030
P  0.3881  0.8840  0.9970

---

(2)
The following is a DFT calculation (PBE-GGA) of MgZn3Ag2 after structural relaxation.

Results
Its relative energy among the computed polymorphs is 45 meV per atom. As for the raw total energy: -1.885 eV/atom. Its space group is Fmmm. The energy of formation from the pure elements is -0.031 eV per atom. The calculated density is 7.24 g cm⁻³.

a = 5.2795 Å, b = 5.2795 Å, c = 9.1077 Å
α = 114.42°, β = 114.42°, γ = 64.77°
Positions (direct):
Ag  0.2500  0.7500  0.5000
Ag  0.7500  0.2500  0.5000
Ag  0.7473  0.2527  0.0000
Ag  0.2527  0.7473  0.0000
Zn  0.8353  0.8353  0.6705
Zn  0.6789  0.6789  0.8383
Zn  0.1594  0.1594  0.8383
Zn  0.3211  0.3211  0.1617
Zn  0.1647  0.1647  0.3295
Zn  0.8406  0.8406  0.1617
Mg  0.6666  0.6666  0.3331
Mg  0.3334  0.3334  0.6669

---

(3)
The following is a DFT calculation (PBE-GGA) of In4CuRe after structural relaxation.

Results
As for the raw total energy: -3.590 eV/atom. Its space group is F-43m. The energy of formation from the pure elements is 0.993 eV per atom. The calculated density is 9.34 g cm⁻³.

a = 5.6274 Å, b = 5.6274 Å, c = 5.6274 Å
α = 60.00°, β = 60.00°, γ = 60.00°
Positions (direct):
Cu  0.0000  0.0000  0.0000
In  0.3749  0.3749  0.3749
In  0.3749  0.8754  0.3749
In  0.3749  0.3749  0.8754
In  0.8754  0.3749  0.3749
Re  0.7500  0.7500  0.7500

---

(4)
The following is a DFT calculation (PBE-GGA) of Lu2TeO6 after structural relaxation.

Results
Its relative energy among the computed polymorphs is 75 meV per atom. As for the raw total energy: -7.182 eV/atom. Its space group is C2/c. The value obtained for the energy relative to the elements, uncorrected is -2523 meV/atom. The calculated density is 8.54 g cm⁻³.

a = 9.6199 Å, b = 9.6199 Å, c = 5.3308 Å
α = 77.09°, β = 77.09°, γ = 70.07°
Positions (direct):
O  0.9263  0.8936  0.5806
O  0.3076  0.2167  0.3399
O  0.0378  0.4599  0.2297
O  0.8936  0.9263  0.0806
O  0.3129  0.8661  0.4485
O  0.6197  0.1908  0.0630
O  0.8661  0.3129  0.9485
O  0.3803  0.8092  0.9370
O  0.6249  0.5324  0.0211
O  0.2167  0.3076  0.8399
O  0.9622  0.5401  0.7703
O  0.1339  0.6871  0.0515
O  0.8092  0.3803  0.4370
O  0.1064  0.0737  0.9194
O  0.4676  0.3751  0.4789
O  0.4599  0.0378  0.7297
O  0.6871  0.1339  0.5515
O  0.0737  0.1064  0.4194
O  0.5401  0.9622  0.2703
O  0.1908  0.6197  0.5630
O  0.7833  0.6924  0.1601
O  0.6924  0.7833  0.6601
O  0.5324  0.6249  0.5211
O  0.3751  0.4676  0.9789
Lu  0.2802  0.0617  0.1136
Lu  0.8972  0.1028  0.2500
Lu  0.0617  0.2802  0.6136
Lu  0.6116  0.3884  0.7500
Lu  0.3884  0.6116  0.2500
Lu  0.9383  0.7198  0.3864
Lu  0.7198  0.9383  0.8864
Lu  0.1028  0.8972  0.7500
Te  0.4961  0.8213  0.5935
Te  0.1787  0.5039  0.9065
Te  0.8213  0.4961  0.0935
Te  0.5039  0.1787  0.4065

---

(5)
The following is a DFT calculation (PBE-GGA) of Be17CoTc after structural relaxation.

Results
As for the raw total energy: -4.384 eV/atom. Its space group is R3m. The energy of formation from the pure elements is -0.131 eV per atom. The calculated density is 3.29 g cm⁻³.

a = 5.4295 Å, b = 5.4295 Å, c = 5.4295 Å
α = 82.77°, β = 82.77°, γ = 82.77°
Positions (direct):
Be  0.0039  0.3038  0.6917
Be  0.6491  0.6491  0.1651
Be  0.8423  0.3492  0.3492
Be  0.6917  0.0039  0.3038
Be  0.0039  0.6917  0.3038
Be  0.3492  0.3492  0.8423
Be  0.9932  0.5035  0.9932
Be  0.6491  0.1651  0.6491
Be  0.3038  0.0039  0.6917
Be  0.3492  0.8423  0.3492
Be  0.6917  0.3038  0.0039
Be  0.8986  0.8986  0.8986
Be  0.3038  0.6917  0.0039
Be  0.1054  0.1054  0.1054
Be  0.9932  0.9932  0.5035
Be  0.1651  0.6491  0.6491
Be  0.5035  0.9932  0.9932
Tc  0.6602  0.6602  0.6602
Co  0.3433  0.3433  0.3433

---

(6)
The following is a DFT calculation (PBE-GGA) of PrErScIn after structural relaxation.

Results
Its relative energy among the computed polymorphs is 0 meV per atom. As for the raw total energy: -4.759 eV/atom. Its space group is F-43m. The energy of formation from the pure elements is -0.155 eV per atom. The calculated density is 6.95 g cm⁻³.

a = 5.4075 Å, b = 5.4075 Å, c = 5.4075 Å
α = 60.00°, β = 60.00°, γ = 60.00°
Last column: magnetic moment on the atom in μB.
Positions (direct):
Er  0.2500  0.2500  0.2500  0.24
In  0.5000  0.5000  0.5000  -0.01
Pr  0.7500  0.7500  0.7500  0.12
Sc  0.0000  0.0000  0.0000  0.37

---

(7)
The following is a DFT calculation (PBE-GGA) of Cs4NpSe4 after structural relaxation.

Results
Its relative energy among the computed polymorphs is 0 meV per atom. As for the raw total energy: -4.479 eV/atom. Its space group is I-42m. The value obtained for the energy relative to the elements, uncorrected is -1113 meV/atom. The calculated density is 4.32 g cm⁻³.

a = 7.5131 Å, b = 9.0996 Å, c = 7.5131 Å
α = 65.62°, β = 90.00°, γ = 114.38°
Last column: magnetic moment on the atom in μB.
Positions (direct):
Se  0.3124  0.2154  0.0970  -0.09
Se  0.9030  0.2154  0.6876  -0.09
Se  0.6876  0.7846  0.3124  -0.09
Se  0.0970  0.7846  0.9030  -0.09
Np  0.0000  0.0000  0.0000  3.37
Cs  0.5543  0.7131  0.8412  0.00
Cs  0.1588  0.7131  0.4457  0.00
Cs  0.8412  0.2869  0.1588  0.00
Cs  0.4457  0.2869  0.5543  0.00

---

(8)
The following is a DFT calculation (PBE-GGA) of TaCdAu2 after structural relaxation.

Results
As for the raw total energy: -4.791 eV/atom. Its space group is Pm. The energy of formation from the pure elements is 0.040 eV per atom. The calculated density is 15.39 g cm⁻³.

a = 4.5950 Å, b = 2.9025 Å, c = 5.7490 Å
α = 75.31°, β = 90.00°, γ = 90.00°
Positions (direct):
Au  0.5000  0.0469  0.2767
Au  0.0000  0.2054  0.9662
Ta  0.5000  0.7927  0.7946
Cd  0.0000  0.4550  0.4624

---

Repeat the fourth record exactly.
The following is a DFT calculation (PBE-GGA) of Lu2TeO6 after structural relaxation.

Results
Its relative energy among the computed polymorphs is 75 meV per atom. As for the raw total energy: -7.182 eV/atom. Its space group is C2/c. The value obtained for the energy relative to the elements, uncorrected is -2523 meV/atom. The calculated density is 8.54 g cm⁻³.

a = 9.6199 Å, b = 9.6199 Å, c = 5.3308 Å
α = 77.09°, β = 77.09°, γ = 70.07°
Positions (direct):
O  0.9263  0.8936  0.5806
O  0.3076  0.2167  0.3399
O  0.0378  0.4599  0.2297
O  0.8936  0.9263  0.0806
O  0.3129  0.8661  0.4485
O  0.6197  0.1908  0.0630
O  0.8661  0.3129  0.9485
O  0.3803  0.8092  0.9370
O  0.6249  0.5324  0.0211
O  0.2167  0.3076  0.8399
O  0.9622  0.5401  0.7703
O  0.1339  0.6871  0.0515
O  0.8092  0.3803  0.4370
O  0.1064  0.0737  0.9194
O  0.4676  0.3751  0.4789
O  0.4599  0.0378  0.7297
O  0.6871  0.1339  0.5515
O  0.0737  0.1064  0.4194
O  0.5401  0.9622  0.2703
O  0.1908  0.6197  0.5630
O  0.7833  0.6924  0.1601
O  0.6924  0.7833  0.6601
O  0.5324  0.6249  0.5211
O  0.3751  0.4676  0.9789
Lu  0.2802  0.0617  0.1136
Lu  0.8972  0.1028  0.2500
Lu  0.0617  0.2802  0.6136
Lu  0.6116  0.3884  0.7500
Lu  0.3884  0.6116  0.2500
Lu  0.9383  0.7198  0.3864
Lu  0.7198  0.9383  0.8864
Lu  0.1028  0.8972  0.7500
Te  0.4961  0.8213  0.5935
Te  0.1787  0.5039  0.9065
Te  0.8213  0.4961  0.0935
Te  0.5039  0.1787  0.4065

---

- Which value of calculated density does entry 6 give?
  6.95 g cm⁻³